Crystalline ZrTaSb2 at its relaxed geometry. Source: Alexandria via LeMat-Bulk, functional PBE.

Its symmetry is No. 166. The volume is 21.95 Å³ per atom. The value obtained for the formation energy (no corrections) is 0.03 eV/f.u.

Cell: 9.1974 9.1974 9.1974 Å, 21.04 21.04 21.04°
With the nearest neighbours (Å) after each atom.
Fractional coordinates of all 4 atoms:
Sb: 0.5048 0.5048 0.5048  3 Ta 2.87, 3 Zr 3.07
Sb: 0.9952 0.9952 0.9952  3 Ta 2.87, 3 Zr 3.07
Zr: 0.7500 0.7500 0.7500  6 Sb 3.07, 6 Zr 3.36
Ta: 0.2500 0.2500 0.2500  6 Sb 2.87